(1)
# Ce2SiPd6 PBE relaxed
# E_form (uncorrected): -0.792 eV/atom
# excess energy over the best structure of this formula in the dataset: 0.0 meV/atom
# N(E_F): 1.36 states/eV/atom
data_Ce2SiPd6
_chemical_formula_sum 'Ce2 Si1 Pd6'
_cell_length_a 5.7294
_cell_length_b 5.7294
_cell_length_c 5.8062
_cell_angle_alpha 90.00
_cell_angle_beta 90.00
_cell_angle_gamma 120.00
_space_group_name_H-M_alt 'P -3 m 1'
_space_group_IT_number 164
_space_group_name_Hall '-P 3 2"'
loop_
_atom_site_label
_atom_site_type_symbol
_atom_site_fract_x
_atom_site_fract_y
_atom_site_fract_z
_atom_site_occupancy
Ce1 Ce 0.3333 0.6667 0.1844 1
Si1 Si 0.0000 0.0000 0.0000 1
Pd1 Pd 0.1708 0.3417 0.6974 1

(2)
# Pm2PrY6Tm PBE relaxed
# N(E_F): 1.46 states/eV/atom
# calculated formation energy: 0.11 eV per atom
data_Pm2PrY6Tm
_chemical_formula_sum 'Pm8 Pr4 Y24 Tm4'
_cell_length_a 9.137
_cell_length_b 15.084
_cell_length_c 9.755
_cell_angle_alpha 90.00
_cell_angle_beta 98.86
_cell_angle_gamma 90.00
_space_group_name_H-M_alt 'C 1 2/c 1'
_space_group_IT_number 15
loop_
_space_group_symop_operation_xyz
'x,y,z'
'-x,-y,-z'
'-x,y,-z+1/2'
'x,-y,z+1/2'
'x+1/2,y+1/2,z'
'-x+1/2,-y+1/2,-z'
'-x+1/2,y+1/2,-z+1/2'
'x+1/2,-y+1/2,z+1/2'
loop_
_atom_site_label
_atom_site_type_symbol
_atom_site_fract_x
_atom_site_fract_y
_atom_site_fract_z
_atom_site_occupancy
Pm1 Pm 0.247 0.050 0.046 1
Pr1 Pr 0.000 0.020 0.750 1
Y1 Y 0.067 0.189 0.443 1
Y2 Y 0.098 0.394 0.617 1
Y3 Y 0.207 0.223 0.815 1
Tm1 Tm 0.000 0.408 0.250 1

(3)
# ZrIn2Pt PBE relaxed
# N(E_F): 1.11 states/eV/atom
# calculated formation energy: -0.22 eV per atom
data_ZrIn2Pt
_chemical_formula_sum 'Zr2 In4 Pt2'
_cell_length_a 4.205
_cell_length_b 4.205
_cell_length_c 9.388
_cell_angle_alpha 90.00
_cell_angle_beta 90.00
_cell_angle_gamma 90.00
_space_group_name_H-M_alt 'I 4/m m m'
_space_group_IT_number 139
_space_group_name_Hall '-I 4 2'
loop_
_atom_site_label
_atom_site_type_symbol
_atom_site_fract_x
_atom_site_fract_y
_atom_site_fract_z
_atom_site_occupancy
Zr1 Zr 0.000 0.000 0.000 1
In1 In 0.000 0.500 0.250 1
Pt1 Pt 0.000 0.000 0.500 1

(4)
# NaLa2TiZn PBE relaxed
# N(E_F): 2.01 states/eV/atom
# calculated formation energy: 0.72 eV per atom
data_NaLa2TiZn
_chemical_formula_sum 'Na1 La2 Ti1 Zn1'
_cell_length_a 5.760
_cell_length_b 5.760
_cell_length_c 4.999
_cell_angle_alpha 90.00
_cell_angle_beta 90.00
_cell_angle_gamma 90.00
_space_group_name_H-M_alt 'P 4/m m m'
_space_group_IT_number 123
_space_group_name_Hall '-P 4 2'
loop_
_atom_site_label
_atom_site_type_symbol
_atom_site_fract_x
_atom_site_fract_y
_atom_site_fract_z
_atom_site_occupancy
Na1 Na 0.000 0.000 0.000 1
La1 La 0.000 0.500 0.500 1
Ti1 Ti 0.500 0.500 0.000 1
Zn1 Zn 0.000 0.000 0.500 1

- Which value of N(E_F) does entry 2 give?
  1.46 states/eV/atom

- Which of these has the lowest N(E_F)?
  ZrIn2Pt

- What is the N(E_F) in the third record?
  1.11 states/eV/atom

- What is the formula in the third record?
  ZrIn2Pt